No. 1
The following is a DFT calculation (PBE-GGA) of RbCr2Re after structural relaxation.

Lattice parameters (Å, degrees): 6.384 6.384 6.384 90.00 90.00 90.00
Space group Fm-3m (No. 225)
Inequivalent atoms, fractional coordinates:
Rb: 0.000 0.000 0.000
Cr: 0.250 0.250 0.250
Re: 0.000 0.000 0.500

Values from the calculation:
For the formation energy, the calculation gives 1.95 eV/atom. The value obtained for the total moment is 0.001 Bohr magnetons per cell. The energy above the most stable polymorph in this dataset is 37.99 kJ/mol of atoms.

***

No. 2
The following is a DFT calculation (PBE-GGA) of MgCdAg2 after structural relaxation.

Lattice parameters (Å, degrees): 4.128 4.128 8.853 90.00 90.00 90.00
Space group I-4m2 (No. 119)
Inequivalent atoms, fractional coordinates:
Mg: 0.000 0.000 0.000
Cd: 0.000 0.500 0.250
Ag: 0.000 0.000 0.500
Ag: 0.000 0.500 0.750

Values from the calculation:
For the formation energy, the calculation gives -0.16 eV/atom. The value obtained for the total moment is 0.000 Bohr magnetons per cell.

***

No. 3
The following is a DFT calculation (PBE-GGA) of K2Rb4SnBi2 after structural relaxation.

Lattice parameters (Å, degrees): 16.298 10.790 5.738 90.00 110.55 90.00
Space group C2/m (No. 12)
Inequivalent atoms, fractional coordinates:
K: 0.140 0.000 0.140
Rb: 0.133 0.301 0.634
Sn: 0.000 0.500 0.000
Bi: 0.214 0.500 0.214

Values from the calculation:
For the formation energy, the calculation gives -0.17 eV/atom. The value obtained for the total moment is 1.971 Bohr magnetons per cell.

***

No. 4
The following is a DFT calculation (PBE-GGA) of Y2SeS2 after structural relaxation.

Lattice parameters (Å, degrees): 7.673 7.673 3.705 90.00 90.00 90.00
Space group P4/mbm (No. 127)
Inequivalent atoms, fractional coordinates:
Y: 0.167 0.333 0.000
Se: 0.000 0.000 0.000
S: 0.136 0.636 0.500

Values from the calculation:
The uncorrected formation energy is -1837 meV per atom. The value obtained for the total moment is 0.000 Bohr magnetons per cell. The energy above the most stable polymorph in this dataset is 18.49 kJ/mol of atoms.

***

No. 5
The following is a DFT calculation (PBE-GGA) of Sm3Tm7In2 after structural relaxation.

Lattice parameters (Å, degrees): 6.5027 6.5027 31.5117 90.00 90.00 120.00
Space group R-3m (No. 166, hexagonal axes)
Inequivalent atoms, fractional coordinates:
Sm: 0.0000 0.0000 0.0000
Sm: 0.0000 0.0000 0.1446
Tm: 0.0000 0.0000 0.5000
Tm: 0.0001 0.5001 0.0799
In: 0.0000 0.0000 0.3336

Values from the calculation:
For the formation energy, the calculation gives 0.09 eV/atom. The value obtained for the total moment is 0.030 Bohr magnetons per cell.

***

No. 6
The following is a DFT calculation (PBE-GGA) of PuMnB after structural relaxation.

Lattice parameters (Å, degrees): 3.325 3.325 6.398 90.00 90.00 90.00
Space group P4/nmm (No. 129, origin choice 2)
Inequivalent atoms, fractional coordinates:
Pu: 0.250 0.250 0.094
Mn: 0.250 0.750 0.500
B: 0.250 0.250 0.707

Values from the calculation:
For the formation energy, the calculation gives 0.03 eV/atom. The value obtained for the total moment is 4.187 Bohr magnetons per cell. The energy above the most stable polymorph in this dataset is 8.40 kJ/mol of atoms.

***

Repeat the fifth record exactly.
The following is a DFT calculation (PBE-GGA) of Sm3Tm7In2 after structural relaxation.

Lattice parameters (Å, degrees): 6.5027 6.5027 31.5117 90.00 90.00 120.00
Space group R-3m (No. 166, hexagonal axes)
Inequivalent atoms, fractional coordinates:
Sm: 0.0000 0.0000 0.0000
Sm: 0.0000 0.0000 0.1446
Tm: 0.0000 0.0000 0.5000
Tm: 0.0001 0.5001 0.0799
In: 0.0000 0.0000 0.3336

Values from the calculation:
For the formation energy, the calculation gives 0.09 eV/atom. The value obtained for the total moment is 0.030 Bohr magnetons per cell.